## ScPPd6 (PBE)

Data for a relaxed structure of ScPPd6.

Computed properties:
D(E_F), states/eV/cell: 2.2
Calculated formation energy, eV/atom: -0.367
Symmetry: R-3m (166)

Cell lengths 5.2685, 5.2685, 5.2684 Å; angles 99.79, 99.79, 99.78 degrees
Fractional coordinates of all 8 atoms:
Pd: 0.7992 0.7992 0.4042
Pd: 0.4041 0.7991 0.7992
Sc: 0.0000 0.0000 0.0000
Pd: 0.2009 0.5959 0.2008
Pd: 0.7991 0.4041 0.7992
P: 0.5000 0.5000 0.5000
Pd: 0.2008 0.2008 0.5958
Pd: 0.5959 0.2009 0.2008